No. 1
An optimized crystal structure of CaMnCo. Source: the Alexandria database, functional PBE-GGA.

Cell lengths 10.5917, 3.9899, 4.9490 Å; angles 90.00, 90.95, 90.00 degrees
With the nearest neighbours (Å) after each atom.
Atoms (fractional coordinates):
Ca1 0.0000 0.0000 0.0000  1 Mn 2.80, 2 Co 3.06-3.09
Ca2 0.0663 0.5000 0.5030  1 Co 2.77, 2 Mn 3.05-3.07
Ca3 0.5000 0.5000 0.0000  1 Mn 2.80, 2 Co 3.06-3.09
Ca4 0.5663 0.0000 0.5030  1 Co 2.77, 2 Mn 3.05-3.07
Mn1 0.2361 0.5000 0.0120  2 Mn 2.36, 3 Co 2.44-2.58
Mn2 0.2830 0.0000 0.2473  2 Mn 2.36, 4 Co 2.39-2.49
Mn3 0.7361 0.0000 0.0120  2 Mn 2.36, 3 Co 2.44-2.58
Mn4 0.7830 0.5000 0.2473  2 Mn 2.36, 4 Co 2.39-2.49
Co1 0.2884 0.0000 0.7514  2 Co 2.40, 4 Mn 2.44-2.49
Co2 0.3278 0.5000 0.4978  3 Mn 2.39-2.58, 2 Co 2.40
Co3 0.7884 0.5000 0.7514  2 Co 2.40, 4 Mn 2.44-2.49
Co4 0.8278 0.0000 0.4978  3 Mn 2.39-2.58, 2 Co 2.40

Calculated values
* DFT formation energy: 265 meV/atom
* space group: Cm (8)



No. 2
An optimized crystal structure of BPOsS2. Source: the Alexandria database, functional PBE-GGA.

Cell lengths 4.0617, 4.0617, 3.9356 Å; angles 90.00, 90.00, 90.00 degrees
With the nearest neighbours (Å) after each atom.
Atoms (fractional coordinates):
B1 0.0000 0.0000 0.0000  2 P 1.97, 4 S 2.03
P1 0.0000 0.0000 0.5000  2 B 1.97
Os1 0.5000 0.5000 0.5000  8 S 2.83, 4 P 2.87
S1 0.0000 0.5000 0.0000  2 B 2.03
S2 0.5000 0.0000 0.0000  2 B 2.03

Calculated values
* space group: P4/mmm (123)
* energy relative to the elements, uncorrected: 1.066 eV per atom



No. 3
An optimized crystal structure of In2HgCl. Source: the Alexandria database, functional PBE-GGA.

Cell lengths 3.7074, 5.8336, 10.2327 Å; angles 90.00, 90.00, 90.00 degrees
With the nearest neighbours (Å) after each atom.
Atoms (fractional coordinates):
In1 0.0000 0.0000 0.2365  2 Cl 3.05, 2 Hg 3.27
In2 0.0000 0.0000 0.7635  2 Cl 3.05, 2 Hg 3.27
In3 0.5000 0.5000 0.2635  2 Cl 3.05, 2 Hg 3.27
In4 0.5000 0.5000 0.7365  2 Cl 3.05, 2 Hg 3.27
Hg1 0.0000 0.5000 0.0000  4 In 3.27, 4 Cl 3.46
Hg2 0.5000 0.0000 0.5000  4 In 3.27, 4 Cl 3.46
Cl1 0.0000 0.5000 0.5000  4 In 3.05
Cl2 0.5000 0.0000 0.0000  4 In 3.05

Calculated values
* space group: Immm (71)
* energy relative to the elements, uncorrected: -0.297 eV per atom



No. 4
An optimized crystal structure of LiZnCr. Source: the Alexandria database, functional PBE-GGA.

Cell lengths 6.1081, 6.1081, 6.1081 Å; angles 90.00, 90.00, 90.00 degrees
With the nearest neighbours (Å) after each atom.
Atoms (fractional coordinates):
Li1 0.0000 0.0000 0.0000  4 Zn 2.64
Li2 0.0000 0.5000 0.5000  4 Zn 2.64
Li3 0.5000 0.0000 0.5000  4 Zn 2.64
Li4 0.5000 0.5000 0.0000  4 Zn 2.64
Zn1 0.2500 0.2500 0.2500  4 Cr 2.64, 4 Li 2.64
Zn2 0.2500 0.7500 0.7500  4 Cr 2.64, 4 Li 2.64
Zn3 0.7500 0.2500 0.7500  4 Cr 2.64, 4 Li 2.64
Zn4 0.7500 0.7500 0.2500  4 Cr 2.64, 4 Li 2.64
Cr1 0.0000 0.0000 0.5000  4 Zn 2.64
Cr2 0.0000 0.5000 0.0000  4 Zn 2.64
Cr3 0.5000 0.0000 0.0000  4 Zn 2.64
Cr4 0.5000 0.5000 0.5000  4 Zn 2.64

Calculated values
* DFT formation energy: 557 meV/atom
* space group: F-43m (216)



Calculated values (meV/atom) of relative energy among the computed polymorphs for the records, taken in order: 69.2, 0.0, 74.2, 482.1.
Calculated values (μB/cell) of magnetization for the records, taken in order: 9.91, 0.00, 0.00, 17.03.